Record 1
DFT (GGA-PBE) results for an optimized crystal structure of CaTeAu3.

- Final energy: -2.403 eV per atom
- Total magnetic moment: 0.00 Bohr magnetons per cell

```
data_CaTeAu3
_chemical_formula_sum 'Ca1 Te1 Au3'
_symmetry_space_group_name_H-M 'P m -3 m'
_symmetry_Int_Tables_number 221
_symmetry_space_group_name_Hall '-P 4 2 3'
_cell_length_a 5.3306
_cell_length_b 5.3306
_cell_length_c 5.3306
_cell_angle_alpha 90.00
_cell_angle_beta 90.00
_cell_angle_gamma 90.00
loop_
_atom_site_label
_atom_site_fract_x
_atom_site_fract_y
_atom_site_fract_z
Ca1 0.0000 0.0000 0.0000
Te1 0.5000 0.5000 0.5000
Au1 0.0000 0.0000 0.5000
```


Record 2
DFT (GGA-PBE) results for an optimized crystal structure of CaTeAu3.

- Final energy: -2.972 eV per atom
- Total magnetic moment: 0.00 Bohr magnetons per cell

```
data_CaTeAu3
_chemical_formula_sum 'Ca1 Te1 Au3'
_symmetry_space_group_name_H-M 'P m -3 m'
_symmetry_Int_Tables_number 221
_symmetry_space_group_name_Hall '-P 4 2 3'
_cell_length_a 5.3230
_cell_length_b 5.3230
_cell_length_c 5.3230
_cell_angle_alpha 90.00
_cell_angle_beta 90.00
_cell_angle_gamma 90.00
loop_
_atom_site_label
_atom_site_fract_x
_atom_site_fract_y
_atom_site_fract_z
Ca1 0.0000 0.0000 0.0000
Te1 0.5000 0.5000 0.5000
Au1 0.0000 0.5000 0.5000
```


Record 3
DFT (GGA-PBE) results for an optimized crystal structure of CaTe3Au.

- Final energy: -3.161 eV per atom
- Total magnetic moment: 0.00 Bohr magnetons per cell

```
data_CaTe3Au
_chemical_formula_sum 'Ca1 Te3 Au1'
_symmetry_space_group_name_H-M 'P m -3 m'
_symmetry_Int_Tables_number 221
_symmetry_space_group_name_Hall '-P 4 2 3'
_cell_length_a 5.4999
_cell_length_b 5.4999
_cell_length_c 5.4999
_cell_angle_alpha 90.00
_cell_angle_beta 90.00
_cell_angle_gamma 90.00
loop_
_atom_site_label
_atom_site_fract_x
_atom_site_fract_y
_atom_site_fract_z
Ca1 0.0000 0.0000 0.0000
Te1 0.0000 0.5000 0.5000
Au1 0.5000 0.5000 0.5000
```


Record 4
DFT (GGA-PBE) results for an optimized crystal structure of CaZnTe2Au.

- Final energy: -2.158 eV per atom
- Total magnetic moment: 0.00 Bohr magnetons per cell

```
data_CaZnTe2Au
_chemical_formula_sum 'Ca1 Zn1 Te2 Au1'
_symmetry_space_group_name_H-M 'P 4/m m m'
_symmetry_Int_Tables_number 123
_symmetry_space_group_name_Hall '-P 4 2'
_cell_length_a 5.8051
_cell_length_b 5.8051
_cell_length_c 5.5336
_cell_angle_alpha 90.00
_cell_angle_beta 90.00
_cell_angle_gamma 90.00
loop_
_atom_site_label
_atom_site_fract_x
_atom_site_fract_y
_atom_site_fract_z
Ca1 0.0000 0.0000 0.0000
Zn1 0.0000 0.0000 0.5000
Te1 0.0000 0.5000 0.0000
Au1 0.5000 0.5000 0.5000
```


Record 5
DFT (GGA-PBE) results for an optimized crystal structure of CaTh3Au4.

- Formation enthalpy at 0 K: -0.615 eV/atom
- Total magnetic moment: 0.00 Bohr magnetons per cell

```
data_CaTh3Au4
_chemical_formula_sum 'Ca1 Th3 Au4'
_symmetry_space_group_name_H-M 'P 4/m m m'
_symmetry_Int_Tables_number 123
_symmetry_space_group_name_Hall '-P 4 2'
_cell_length_a 5.2141
_cell_length_b 5.2141
_cell_length_c 7.4507
_cell_angle_alpha 90.00
_cell_angle_beta 90.00
_cell_angle_gamma 90.00
loop_
_atom_site_label
_atom_site_fract_x
_atom_site_fract_y
_atom_site_fract_z
Ca1 0.0000 0.0000 0.0000
Th1 0.0000 0.0000 0.5000
Th2 0.5000 0.5000 0.0000
Th3 0.5000 0.5000 0.5000
Au1 0.0000 0.5000 0.2425
```


Record 6
DFT (GGA-PBE) results for an optimized crystal structure of CaThAu4.

- Formation enthalpy at 0 K: -0.517 eV/atom
- Total magnetic moment: 0.00 Bohr magnetons per cell

```
data_CaThAu4
_chemical_formula_sum 'Ca1 Th1 Au4'
_symmetry_space_group_name_H-M 'P 1 2/m 1'
_symmetry_Int_Tables_number 10
_cell_length_a 5.5807
_cell_length_b 4.2853
_cell_length_c 7.0146
_cell_angle_alpha 90.00
_cell_angle_beta 109.71
_cell_angle_gamma 90.00
loop_
_symmetry_equiv_pos_as_xyz
'x,y,z'
'-x,-y,-z'
'-x,y,-z'
'x,-y,z'
loop_
_atom_site_label
_atom_site_fract_x
_atom_site_fract_y
_atom_site_fract_z
Ca1 0.0000 0.0000 0.0000
Th1 0.5000 0.5000 0.5000
Au1 0.0645 0.5000 0.7191
Au2 0.4329 0.0000 0.7805
```